Entry 1:
The following is a DFT calculation (GGA-PBEsol) of crystalline MoPbSe2Br at its relaxed geometry.

CIF file:
```
data_MoPbSe2Br
_symmetry_space_group_name_H-M 'P 1'
_symmetry_Int_Tables_number 1
_cell_length_a 4.860
_cell_length_b 4.860
_cell_length_c 5.239
_cell_angle_alpha 90.00
_cell_angle_beta 90.00
_cell_angle_gamma 90.00
loop_
_symmetry_equiv_pos_as_xyz
'x,y,z'
loop_
_atom_site_label
_atom_site_fract_x
_atom_site_fract_y
_atom_site_fract_z
_atom_site_occupancy
Mo1 0.000 0.000 0.000 1
Pb1 0.500 0.500 0.500 1
Se1 0.000 0.500 0.000 1
Se2 0.500 0.000 0.000 1
Br1 0.000 0.000 0.500 1
```

Computed properties:
**Volume**: 24.7 Å³ per atom
**Total DFT energy (no corrections)**: -5.076 eV/atom
**Crystal system**: tetragonal
**Formation energy without anion corrections**: -0.01 eV/atom

Entry 2:
The following is a DFT calculation (GGA-PBEsol) of crystalline Zr2CoGe2 at its relaxed geometry.

CIF file:
```
data_Zr2CoGe2
_symmetry_space_group_name_H-M 'P 1'
_symmetry_Int_Tables_number 1
_cell_length_a 6.437
_cell_length_b 6.437
_cell_length_c 6.437
_cell_angle_alpha 142.26
_cell_angle_beta 142.26
_cell_angle_gamma 54.44
loop_
_symmetry_equiv_pos_as_xyz
'x,y,z'
loop_
_atom_site_label
_atom_site_fract_x
_atom_site_fract_y
_atom_site_fract_z
_atom_site_occupancy
Zr1 0.250 0.750 0.500 1
Zr2 0.750 0.250 0.500 1
Co1 0.000 0.000 0.000 1
Ge1 0.400 0.400 0.000 1
Ge2 0.600 0.600 0.000 1
```

Computed properties:
**Volume**: 19.8 Å³ per atom
**ΔH_f (0 K)**: 0.365 eV/atom
**Total DFT energy (no corrections)**: -6.794 eV/atom
**Crystal system**: tetragonal

Entry 3:
The following is a DFT calculation (GGA-PBEsol) of crystalline BaHfS3 at its relaxed geometry.

CIF file:
```
data_BaHfS3
_symmetry_space_group_name_H-M 'P 1'
_symmetry_Int_Tables_number 1
_cell_length_a 5.405
_cell_length_b 5.405
_cell_length_c 5.405
_cell_angle_alpha 90.00
_cell_angle_beta 90.00
_cell_angle_gamma 90.00
loop_
_symmetry_equiv_pos_as_xyz
'x,y,z'
loop_
_atom_site_label
_atom_site_fract_x
_atom_site_fract_y
_atom_site_fract_z
_atom_site_occupancy
Ba1 0.000 0.000 0.000 1
Hf1 0.500 0.500 0.500 1
S1 0.000 0.000 0.500 1
S2 0.000 0.500 0.000 1
S3 0.500 0.000 0.000 1
```

Computed properties:
**Volume**: 31.6 Å³ per atom
**Total DFT energy (no corrections)**: -4.361 eV/atom
**Crystal system**: cubic
**Formation energy without anion corrections**: 0.80 eV/atom

Entry 4:
The following is a DFT calculation (GGA-PBEsol) of crystalline La2CrCl at its relaxed geometry.

CIF file:
```
data_La2CrCl
_symmetry_space_group_name_H-M 'P 1'
_symmetry_Int_Tables_number 1
_cell_length_a 9.864
_cell_length_b 9.864
_cell_length_c 9.864
_cell_angle_alpha 20.70
_cell_angle_beta 20.70
_cell_angle_gamma 20.70
loop_
_symmetry_equiv_pos_as_xyz
'x,y,z'
loop_
_atom_site_label
_atom_site_fract_x
_atom_site_fract_y
_atom_site_fract_z
_atom_site_occupancy
La1 0.000 0.000 0.000 1
La2 0.227 0.227 0.227 1
Cr1 0.481 0.481 0.481 1
Cl1 0.741 0.741 0.741 1
```

Computed properties:
**Volume**: 26.3 Å³ per atom
**Total DFT energy (no corrections)**: -5.804 eV/atom
**Crystal system**: trigonal
**Formation energy without anion corrections**: -0.07 eV/atom